1.
# NaBeVTe2, optimized geometry, DFT PBE
data_NaBeVTe2
_chemical_formula_sum 'Na1 Be1 V1 Te2'
_cell_length_a 5.186
_cell_length_b 5.186
_cell_length_c 5.947
_cell_angle_alpha 90.00
_cell_angle_beta 90.00
_cell_angle_gamma 90.00
_space_group_name_H-M_alt 'P 4/m m m'
_space_group_IT_number 123
_space_group_name_Hall '-P 4 2'
loop_
_atom_site_label
_atom_site_type_symbol
_atom_site_fract_x
_atom_site_fract_y
_atom_site_fract_z
Na1 Na 0.000 0.000 0.000
Be1 Be 0.500 0.500 0.000
V1 V 0.000 0.000 0.500
Te1 Te 0.000 0.500 0.500
# crystal system	tetragonal
# raw total energy	-3.406	eV/atom
# total magnetization	2.29	μB/cell


2.
# Ba2PrIr3O12, optimized geometry, DFT PBE
data_Ba2PrIr3O12
_chemical_formula_sum 'Ba6 Pr3 Ir9 O36'
_cell_length_a 7.3689
_cell_length_b 7.3689
_cell_length_c 16.5222
_cell_angle_alpha 90.00
_cell_angle_beta 90.00
_cell_angle_gamma 120.00
_space_group_name_H-M_alt 'R -3 m'
_space_group_IT_number 166
_space_group_name_Hall '-R 3 2"'
loop_
_atom_site_label
_atom_site_type_symbol
_atom_site_fract_x
_atom_site_fract_y
_atom_site_fract_z
Ba1 Ba 0.0000 0.0000 0.1109
Pr1 Pr 0.0000 0.0000 0.5000
Ir1 Ir 0.0000 0.5000 0.0000
O1 O 0.0310 0.5155 0.8856
O2 O 0.0590 0.5295 0.3188
# crystal system	trigonal
# raw total energy	-6.787	eV/atom
# total magnetization	4.41	μB/cell


3.
# CdSe3, optimized geometry, DFT PBE
data_CdSe3
_chemical_formula_sum 'Cd2 Se6'
_cell_length_a 5.093
_cell_length_b 5.424
_cell_length_c 8.078
_cell_angle_alpha 90.00
_cell_angle_beta 90.00
_cell_angle_gamma 90.00
_space_group_name_H-M_alt 'P m m n'
_space_group_IT_number 59
loop_
_space_group_symop_operation_xyz
'x,y,z'
'-x,-y,-z'
'-x+1/2,-y+1/2,z'
'x+1/2,y+1/2,-z'
'x+1/2,-y,-z'
'-x+1/2,y,z'
'-x,y+1/2,-z'
'x,-y+1/2,z'
loop_
_atom_site_label
_atom_site_type_symbol
_atom_site_fract_x
_atom_site_fract_y
_atom_site_fract_z
Cd1 Cd 0.250 0.250 0.123
Se1 Se 0.250 0.503 0.463
Se2 Se 0.250 0.750 0.992
# crystal system	orthorhombic
# raw total energy	-2.914	eV/atom
# total magnetization	0.00	μB/cell


4.
# Tb2CeCd8, optimized geometry, DFT PBE
data_Tb2CeCd8
_chemical_formula_sum 'Tb4 Ce2 Cd16'
_cell_length_a 8.325
_cell_length_b 15.957
_cell_length_c 5.347
_cell_angle_alpha 90.00
_cell_angle_beta 129.90
_cell_angle_gamma 90.00
_space_group_name_H-M_alt 'C 1 2/m 1'
_space_group_IT_number 12
loop_
_space_group_symop_operation_xyz
'x,y,z'
'-x,-y,-z'
'-x,y,-z'
'x,-y,z'
'x+1/2,y+1/2,z'
'-x+1/2,-y+1/2,-z'
'-x+1/2,y+1/2,-z'
'x+1/2,-y+1/2,z'
loop_
_atom_site_label
_atom_site_type_symbol
_atom_site_fract_x
_atom_site_fract_y
_atom_site_fract_z
Tb1 Tb 0.000 0.191 0.000
Ce1 Ce 0.000 0.500 0.500
Cd1 Cd 0.000 0.298 0.500
Cd2 Cd 0.001 0.000 0.753
Cd3 Cd 0.232 0.370 0.232
# calculated formation energy	-231	meV per atom
# crystal system	monoclinic
# raw total energy	-2.278	eV/atom
# total magnetization	2.43	μB/cell


5.
# PuTh2Rh, optimized geometry, DFT PBE
data_PuTh2Rh
_chemical_formula_sum 'Pu3 Th6 Rh3'
_cell_length_a 3.7193
_cell_length_b 3.7193
_cell_length_c 30.2927
_cell_angle_alpha 90.00
_cell_angle_beta 90.00
_cell_angle_gamma 120.00
_space_group_name_H-M_alt 'R -3 m'
_space_group_IT_number 166
_space_group_name_Hall '-R 3 2"'
loop_
_atom_site_label
_atom_site_type_symbol
_atom_site_fract_x
_atom_site_fract_y
_atom_site_fract_z
Pu1 Pu 0.0000 0.0000 0.0000
Th1 Th 0.0000 0.0000 0.1054
Rh1 Rh 0.0000 0.0000 0.5000
# calculated formation energy	19	meV per atom
# crystal system	trigonal
# raw total energy	-9.112	eV/atom
# total magnetization	19.81	μB/cell


6.
# P4Pt5, optimized geometry, DFT PBE
data_P4Pt5
_chemical_formula_sum 'P8 Pt10'
_cell_length_a 10.209
_cell_length_b 10.209
_cell_length_c 3.196
_cell_angle_alpha 90.00
_cell_angle_beta 90.00
_cell_angle_gamma 90.00
_space_group_name_H-M_alt 'I 4/m m m'
_space_group_IT_number 139
_space_group_name_Hall '-I 4 2'
loop_
_atom_site_label
_atom_site_type_symbol
_atom_site_fract_x
_atom_site_fract_y
_atom_site_fract_z
P1 P 0.000 0.245 0.000
Pt1 Pt 0.000 0.000 0.000
Pt2 Pt 0.174 0.174 0.500
# calculated formation energy	-13	meV per atom
# crystal system	tetragonal
# raw total energy	-5.773	eV/atom
# total magnetization	0.00	μB/cell


7.
# LiSmTl, optimized geometry, DFT PBE
data_LiSmTl
_chemical_formula_sum 'Li1 Sm1 Tl1'
_cell_length_a 4.9918
_cell_length_b 4.9918
_cell_length_c 3.5013
_cell_angle_alpha 90.00
_cell_angle_beta 90.00
_cell_angle_gamma 120.00
_space_group_name_H-M_alt 'P -6 m 2'
_space_group_IT_number 187
_space_group_name_Hall 'P -6 2'
loop_
_atom_site_label
_atom_site_type_symbol
_atom_site_fract_x
_atom_site_fract_y
_atom_site_fract_z
Li1 Li 0.0000 0.0000 0.0000
Sm1 Sm 0.6667 0.3333 0.5000
Tl1 Tl 0.3333 0.6667 0.0000
# calculated formation energy	-282	meV per atom
# crystal system	hexagonal
# raw total energy	-3.282	eV/atom
# total magnetization	0.03	μB/cell


8.
# MgH2, optimized geometry, DFT PBE
data_MgH2
_chemical_formula_sum 'Mg4 H8'
_cell_length_a 3.006
_cell_length_b 5.208
_cell_length_c 8.392
_cell_angle_alpha 90.00
_cell_angle_beta 90.00
_cell_angle_gamma 90.00
_space_group_name_H-M_alt 'C m c 21'
_space_group_IT_number 36
loop_
_space_group_symop_operation_xyz
'x,y,z'
'-x,-y,z+1/2'
'-x,y,z'
'x,-y,z+1/2'
'x+1/2,y+1/2,z'
'-x+1/2,-y+1/2,z+1/2'
'-x+1/2,y+1/2,z'
'x+1/2,-y+1/2,z+1/2'
loop_
_atom_site_label
_atom_site_type_symbol
_atom_site_fract_x
_atom_site_fract_y
_atom_site_fract_z
Mg1 Mg 0.000 0.165 0.000
H1 H 0.000 0.168 0.612
H2 H 0.000 0.499 0.890
# crystal system	orthorhombic
# raw total energy	-2.907	eV/atom
# total magnetization	0.00	μB/cell


Question: Look up the total magnetization of the seventh one.
Answer: 0.03 μB/cell